## TlIrBr2 (PBE)

Data for TlIrBr2 after structural relaxation.

Output
excess energy over the best structure of this formula in the dataset	0.325	eV per atom
calculated volume	28.06	Å³/atom
magnetization	0.42	μB/f.u.
space-group type	Cmmm, No. 65

Cell and atoms, written as CIF:
```
data_TlIrBr2
_cell_length_a 3.793
_cell_length_b 3.793
_cell_length_c 9.248
_cell_angle_alpha 90.00
_cell_angle_beta 90.00
_cell_angle_gamma 122.51
_space_group_name_H-M_alt 'P 1'
_space_group_IT_number 1
_space_group_name_Hall 'P 1'
loop_
_atom_site_label
_atom_site_type_symbol
_atom_site_fract_x
_atom_site_fract_y
_atom_site_fract_z
_atom_site_occupancy
Tl1 Tl 0.000 0.000 0.000 1
Ir1 Ir 0.000 0.000 0.500 1
Br1 Br 0.500 0.500 0.319 1
Br2 Br 0.500 0.500 0.681 1
```